<w>
# GGA-PBE AgI2Br8, relaxed
data_AgI2Br8
_chemical_formula_sum 'Ag2 I4 Br16'
_cell_length_a 13.787
_cell_length_b 8.431
_cell_length_c 10.386
_cell_angle_alpha 90.00
_cell_angle_beta 119.33
_cell_angle_gamma 90.00
_space_group_name_H-M_alt 'C 1 2/m 1'
_space_group_IT_number 12
loop_
_space_group_symop_operation_xyz
'x,y,z'
'-x,-y,-z'
'-x,y,-z'
'x,-y,z'
'x+1/2,y+1/2,z'
'-x+1/2,-y+1/2,-z'
'-x+1/2,y+1/2,-z'
'x+1/2,-y+1/2,z'
loop_
_atom_site_label
_atom_site_fract_x
_atom_site_fract_y
_atom_site_fract_z
Ag1 0.000 0.000 0.000
I1 0.178 0.500 0.575
Br1 0.058 0.500 0.712
Br2 0.120 0.220 0.157
Br3 0.211 0.000 0.571
# Magnetization = 0.00 μB per cell

<x>
# GGA-PBE AgI2Br8, relaxed
data_AgI2Br8
_chemical_formula_sum 'Ag4 I8 Br32'
_cell_length_a 20.528
_cell_length_b 9.859
_cell_length_c 13.792
_cell_angle_alpha 90.00
_cell_angle_beta 128.52
_cell_angle_gamma 90.00
_space_group_name_H-M_alt 'C 1 2/c 1'
_space_group_IT_number 15
loop_
_space_group_symop_operation_xyz
'x,y,z'
'-x,-y,-z'
'-x,y,-z+1/2'
'x,-y,z+1/2'
'x+1/2,y+1/2,z'
'-x+1/2,-y+1/2,-z'
'-x+1/2,y+1/2,-z+1/2'
'x+1/2,-y+1/2,z+1/2'
loop_
_atom_site_label
_atom_site_fract_x
_atom_site_fract_y
_atom_site_fract_z
Ag1 0.000 0.082 0.250
I1 0.086 0.369 0.122
Br1 0.042 0.187 0.456
Br2 0.114 0.220 0.974
Br3 0.137 0.081 0.848
Br4 0.198 0.446 0.695
# Magnetization = 0.00 μB per cell

Which structure loses on stability? <w> does.

<w>
# GGA-PBE AgIBrN2, relaxed
data_AgIBrN2
_chemical_formula_sum 'Ag1 I1 Br1 N2'
_cell_length_a 4.046
_cell_length_b 4.046
_cell_length_c 8.243
_cell_angle_alpha 90.00
_cell_angle_beta 90.00
_cell_angle_gamma 90.00
_space_group_name_H-M_alt 'P 4/m m m'
_space_group_IT_number 123
_space_group_name_Hall '-P 4 2'
loop_
_atom_site_label
_atom_site_fract_x
_atom_site_fract_y
_atom_site_fract_z
Ag1 0.000 0.000 0.000
I1 0.500 0.500 0.000
Br1 0.500 0.500 0.500
N1 0.000 0.500 0.500
# Magnetization = 1.50 μB per cell

<x>
# GGA-PBE AgIBrN2, relaxed
data_AgIBrN2
_chemical_formula_sum 'Ag1 I1 Br1 N2'
_cell_length_a 4.267
_cell_length_b 4.267
_cell_length_c 7.197
_cell_angle_alpha 90.00
_cell_angle_beta 90.00
_cell_angle_gamma 90.00
_space_group_name_H-M_alt 'P 4/m m m'
_space_group_IT_number 123
_space_group_name_Hall '-P 4 2'
loop_
_atom_site_label
_atom_site_fract_x
_atom_site_fract_y
_atom_site_fract_z
Ag1 0.000 0.000 0.000
I1 0.000 0.000 0.500
Br1 0.500 0.500 0.500
N1 0.000 0.500 0.000
# Magnetization = 4.08 μB per cell

Which structure loses on stability? <w> does.

<w>
# GGA-PBE AgI2BrN, relaxed
data_AgI2BrN
_chemical_formula_sum 'Ag1 I2 Br1 N1'
_cell_length_a 6.585
_cell_length_b 6.585
_cell_length_c 3.688
_cell_angle_alpha 90.00
_cell_angle_beta 90.00
_cell_angle_gamma 90.00
_space_group_name_H-M_alt 'P 4/m m m'
_space_group_IT_number 123
_space_group_name_Hall '-P 4 2'
loop_
_atom_site_label
_atom_site_fract_x
_atom_site_fract_y
_atom_site_fract_z
Ag1 0.000 0.000 0.000
I1 0.000 0.500 0.500
Br1 0.500 0.500 0.500
N1 0.500 0.500 0.000
# Magnetization = 0.00 μB per cell

<x>
# GGA-PBE AgI2BrN, relaxed
data_AgI2BrN
_chemical_formula_sum 'Ag1 I2 Br1 N1'
_cell_length_a 5.906
_cell_length_b 5.906
_cell_length_c 4.123
_cell_angle_alpha 90.00
_cell_angle_beta 90.00
_cell_angle_gamma 90.00
_space_group_name_H-M_alt 'P 4/m m m'
_space_group_IT_number 123
_space_group_name_Hall '-P 4 2'
loop_
_atom_site_label
_atom_site_fract_x
_atom_site_fract_y
_atom_site_fract_z
Ag1 0.000 0.000 0.000
I1 0.000 0.500 0.000
Br1 0.500 0.500 0.500
N1 0.000 0.000 0.500
# Magnetization = 2.59 μB per cell

Which structure loses on stability? <w> does.

<w>
# GGA-PBE TlAgIBr2, relaxed
data_TlAgIBr2
_chemical_formula_sum 'Tl1 Ag1 I1 Br2'
_cell_length_a 5.423
_cell_length_b 5.423
_cell_length_c 5.710
_cell_angle_alpha 90.00
_cell_angle_beta 90.00
_cell_angle_gamma 90.00
_space_group_name_H-M_alt 'P 4/m m m'
_space_group_IT_number 123
_space_group_name_Hall '-P 4 2'
loop_
_atom_site_label
_atom_site_fract_x
_atom_site_fract_y
_atom_site_fract_z
Tl1 0.000 0.000 0.000
Ag1 0.500 0.500 0.500
I1 0.500 0.500 0.000
Br1 0.000 0.500 0.500
# Magnetization = 0.00 μB per cell

<x>
# GGA-PBE TlAgIBr2, relaxed
data_TlAgIBr2
_chemical_formula_sum 'Tl4 Ag4 I4 Br8'
_cell_length_a 4.474
_cell_length_b 17.604
_cell_length_c 8.591
_cell_angle_alpha 90.00
_cell_angle_beta 90.00
_cell_angle_gamma 90.00
_space_group_name_H-M_alt 'C m c m'
_space_group_IT_number 63
_space_group_name_Hall '-C 2c 2'
loop_
_atom_site_label
_atom_site_fract_x
_atom_site_fract_y
_atom_site_fract_z
Tl1 0.000 0.204 0.250
Ag1 0.000 0.500 0.000
I1 0.000 0.003 0.250
Br1 0.000 0.353 0.007
# Magnetization = 0.00 μB per cell

Which structure loses on stability? <w> does.

<w>
# GGA-PBE InAg2Br, relaxed
data_InAg2Br
_chemical_formula_sum 'In2 Ag4 Br2'
_cell_length_a 6.158
_cell_length_b 10.399
_cell_length_c 3.696
_cell_angle_alpha 90.00
_cell_angle_beta 126.27
_cell_angle_gamma 90.00
_space_group_name_H-M_alt 'C 1 2/m 1'
_space_group_IT_number 12
loop_
_space_group_symop_operation_xyz
'x,y,z'
'-x,-y,-z'
'-x,y,-z'
'x,-y,z'
'x+1/2,y+1/2,z'
'-x+1/2,-y+1/2,-z'
'-x+1/2,y+1/2,-z'
'x+1/2,-y+1/2,z'
loop_
_atom_site_label
_atom_site_fract_x
_atom_site_fract_y
_atom_site_fract_z
In1 0.000 0.000 0.000
Ag1 0.250 0.250 0.000
Br1 0.000 0.500 0.000
# Magnetization = 0.00 μB per cell

<x>
# GGA-PBE InAg2Br, relaxed
data_InAg2Br
_chemical_formula_sum 'In2 Ag4 Br2'
_cell_length_a 4.430
_cell_length_b 4.430
_cell_length_c 9.518
_cell_angle_alpha 90.00
_cell_angle_beta 90.00
_cell_angle_gamma 90.00
_space_group_name_H-M_alt 'I 4/m m m'
_space_group_IT_number 139
_space_group_name_Hall '-I 4 2'
loop_
_atom_site_label
_atom_site_fract_x
_atom_site_fract_y
_atom_site_fract_z
In1 0.000 0.000 0.000
Ag1 0.000 0.500 0.250
Br1 0.000 0.000 0.500
# Magnetization = 0.00 μB per cell

Which structure loses on stability? <x> does.

<w>
# GGA-PBE In2AgBr, relaxed
data_In2AgBr
_chemical_formula_sum 'In8 Ag4 Br4'
_cell_length_a 6.843
_cell_length_b 6.843
_cell_length_c 13.140
_cell_angle_alpha 90.00
_cell_angle_beta 90.00
_cell_angle_gamma 90.00
_space_group_name_H-M_alt 'I -4 2 d'
_space_group_IT_number 122
_space_group_name_Hall 'I -4 2bw'
loop_
_atom_site_label
_atom_site_fract_x
_atom_site_fract_y
_atom_site_fract_z
In1 0.207 0.250 0.125
Ag1 0.000 0.000 0.000
Br1 0.000 0.000 0.500
# Magnetization = 0.00 μB per cell

<x>
# GGA-PBE In2AgBr, relaxed
data_In2AgBr
_chemical_formula_sum 'In4 Ag2 Br2'
_cell_length_a 7.901
_cell_length_b 7.936
_cell_length_c 3.295
_cell_angle_alpha 90.00
_cell_angle_beta 90.00
_cell_angle_gamma 90.00
_space_group_name_H-M_alt 'C m m m'
_space_group_IT_number 65
_space_group_name_Hall '-C 2 2'
loop_
_atom_site_label
_atom_site_fract_x
_atom_site_fract_y
_atom_site_fract_z
In1 0.250 0.250 0.000
Ag1 0.000 0.000 0.500
Br1 0.000 0.500 0.500
# Magnetization = 0.00 μB per cell

<y>
# GGA-PBE In2AgBr, relaxed
data_In2AgBr
_chemical_formula_sum 'In8 Ag4 Br4'
_cell_length_a 7.568
_cell_length_b 7.568
_cell_length_c 7.568
_cell_angle_alpha 90.00
_cell_angle_beta 90.00
_cell_angle_gamma 90.00
_space_group_name_H-M_alt 'F -4 3 m'
_space_group_IT_number 216
_space_group_name_Hall 'F -4 2 3'
loop_
_atom_site_label
_atom_site_fract_x
_atom_site_fract_y
_atom_site_fract_z
In1 0.000 0.000 0.000
In2 0.250 0.250 0.250
Ag1 0.000 0.000 0.500
Br1 0.250 0.250 0.750
# Magnetization = 0.00 μB per cell

Which structure loses on stability? <y> does.

<w>
# GGA-PBE In2AgBr, relaxed
data_In2AgBr
_chemical_formula_sum 'In4 Ag2 Br2'
_cell_length_a 3.708
_cell_length_b 5.449
_cell_length_c 10.138
_cell_angle_alpha 90.00
_cell_angle_beta 90.00
_cell_angle_gamma 90.00
_space_group_name_H-M_alt 'I m m m'
_space_group_IT_number 71
_space_group_name_Hall '-I 2 2'
loop_
_atom_site_label
_atom_site_fract_x
_atom_site_fract_y
_atom_site_fract_z
In1 0.000 0.000 0.233
Ag1 0.000 0.500 0.500
Br1 0.000 0.500 0.000
# Magnetization = 0.00 μB per cell

<x>
# GGA-PBE In2AgBr, relaxed
data_In2AgBr
_chemical_formula_sum 'In4 Ag2 Br2'
_cell_length_a 12.341
_cell_length_b 3.397
_cell_length_c 5.467
_cell_angle_alpha 90.00
_cell_angle_beta 115.72
_cell_angle_gamma 90.00
_space_group_name_H-M_alt 'C 1 m 1'
_space_group_IT_number 8
loop_
_space_group_symop_operation_xyz
'x,y,z'
'x,-y,z'
'x+1/2,y+1/2,z'
'x+1/2,-y+1/2,z'
loop_
_atom_site_label
_atom_site_fract_x
_atom_site_fract_y
_atom_site_fract_z
In1 0.000 0.000 0.000
In2 0.237 0.000 0.729
Ag1 0.016 0.500 0.515
Br1 0.276 0.500 0.271
# Magnetization = 0.00 μB per cell

Which structure loses on stability? <w> does.

<w>
# GGA-PBE In2AgBr, relaxed
data_In2AgBr
_chemical_formula_sum 'In2 Ag1 Br1'
_cell_length_a 3.517
_cell_length_b 5.016
_cell_length_c 6.063
_cell_angle_alpha 90.00
_cell_angle_beta 90.00
_cell_angle_gamma 90.00
_space_group_name_H-M_alt 'P m m m'
_space_group_IT_number 47
loop_
_space_group_symop_operation_xyz
'x,y,z'
'-x,-y,-z'
'-x,-y,z'
'x,y,-z'
'x,-y,-z'
'-x,y,z'
'-x,y,-z'
'x,-y,z'
loop_
_atom_site_label
_atom_site_fract_x
_atom_site_fract_y
_atom_site_fract_z
In1 0.000 0.000 0.000
In2 0.500 0.000 0.500
Ag1 0.000 0.500 0.500
Br1 0.500 0.500 0.000
# Magnetization = 0.00 μB per cell

<x>
# GGA-PBE In2AgBr, relaxed
data_In2AgBr
_chemical_formula_sum 'In4 Ag2 Br2'
_cell_length_a 5.230
_cell_length_b 5.261
_cell_length_c 7.564
_cell_angle_alpha 90.00
_cell_angle_beta 90.00
_cell_angle_gamma 90.00
_space_group_name_H-M_alt 'C m m m'
_space_group_IT_number 65
_space_group_name_Hall '-C 2 2'
loop_
_atom_site_label
_atom_site_fract_x
_atom_site_fract_y
_atom_site_fract_z
In1 0.000 0.000 0.215
Ag1 0.000 0.500 0.000
Br1 0.000 0.500 0.500
# Magnetization = 0.00 μB per cell

Which structure loses on stability? <w> does.

<w>
# GGA-PBE In2AgBr, relaxed
data_In2AgBr
_chemical_formula_sum 'In2 Ag1 Br1'
_cell_length_a 3.519
_cell_length_b 3.689
_cell_length_c 8.163
_cell_angle_alpha 90.00
_cell_angle_beta 90.06
_cell_angle_gamma 90.00
_space_group_name_H-M_alt 'P 1 2/m 1'
_space_group_IT_number 10
loop_
_space_group_symop_operation_xyz
'x,y,z'
'-x,-y,-z'
'-x,y,-z'
'x,-y,z'
loop_
_atom_site_label
_atom_site_fract_x
_atom_site_fract_y
_atom_site_fract_z
In1 0.001 0.000 0.207
Ag1 0.500 0.500 0.000
Br1 0.000 0.500 0.500
# Magnetization = 0.00 μB per cell

<x>
# GGA-PBE In2AgBr, relaxed
data_In2AgBr
_chemical_formula_sum 'In6 Ag3 Br3'
_cell_length_a 3.9338
_cell_length_b 3.9338
_cell_length_c 24.0560
_cell_angle_alpha 90.00
_cell_angle_beta 90.00
_cell_angle_gamma 120.00
_space_group_name_H-M_alt 'R -3 m'
_space_group_IT_number 166
_space_group_name_Hall '-R 3 2"'
loop_
_atom_site_label
_atom_site_fract_x
_atom_site_fract_y
_atom_site_fract_z
In1 0.0000 0.0000 0.2400
Ag1 0.0000 0.0000 0.5000
Br1 0.0000 0.0000 0.0000
# Magnetization = 0.00 μB per cell

<y>
# GGA-PBE In2AgBr, relaxed
data_In2AgBr
_chemical_formula_sum 'In2 Ag1 Br1'
_cell_length_a 3.675
_cell_length_b 3.675
_cell_length_c 7.659
_cell_angle_alpha 90.00
_cell_angle_beta 90.00
_cell_angle_gamma 90.00
_space_group_name_H-M_alt 'P 4 m m'
_space_group_IT_number 99
loop_
_space_group_symop_operation_xyz
'x,y,z'
'-y,x,z'
'-x,-y,z'
'y,-x,z'
'-x,y,z'
'y,x,z'
'x,-y,z'
'-y,-x,z'
loop_
_atom_site_label
_atom_site_fract_x
_atom_site_fract_y
_atom_site_fract_z
In1 0.000 0.000 0.000
In2 0.500 0.500 0.274
Ag1 0.000 0.000 0.465
Br1 0.500 0.500 0.714
# Magnetization = 0.00 μB per cell

Which structure loses on stability? <y> does.

<w>
# GGA-PBE InAg2Br6, relaxed
data_InAg2Br6
_chemical_formula_sum 'In4 Ag8 Br24'
_cell_length_a 15.784
_cell_length_b 13.561
_cell_length_c 7.274
_cell_angle_alpha 90.00
_cell_angle_beta 116.98
_cell_angle_gamma 90.00
_space_group_name_H-M_alt 'C 1 2/c 1'
_space_group_IT_number 15
loop_
_space_group_symop_operation_xyz
'x,y,z'
'-x,-y,-z'
'-x,y,-z+1/2'
'x,-y,z+1/2'
'x+1/2,y+1/2,z'
'-x+1/2,-y+1/2,-z'
'-x+1/2,y+1/2,-z+1/2'
'x+1/2,-y+1/2,z+1/2'
loop_
_atom_site_label
_atom_site_fract_x
_atom_site_fract_y
_atom_site_fract_z
In1 0.000 0.244 0.250
Ag1 0.241 0.453 0.538
Br1 0.091 0.355 0.563
Br2 0.098 0.131 0.137
Br3 0.239 0.383 0.209
# Magnetization = 0.00 μB per cell

<x>
# GGA-PBE InAg2Br6, relaxed
data_InAg2Br6
_chemical_formula_sum 'In2 Ag4 Br12'
_cell_length_a 6.890
_cell_length_b 7.209
_cell_length_c 12.720
_cell_angle_alpha 90.00
_cell_angle_beta 115.75
_cell_angle_gamma 90.00
_space_group_name_H-M_alt 'P 1 21/c 1'
_space_group_IT_number 14
loop_
_space_group_symop_operation_xyz
'x,y,z'
'-x,-y,-z'
'-x,y+1/2,-z+1/2'
'x,-y+1/2,z+1/2'
loop_
_atom_site_label
_atom_site_fract_x
_atom_site_fract_y
_atom_site_fract_z
In1 0.000 0.000 0.000
Ag1 0.358 0.130 0.843
Br1 0.090 0.195 0.409
Br2 0.256 0.691 0.430
Br3 0.371 0.064 0.218
# Magnetization = 0.00 μB per cell

Which structure loses on stability? <w> does.

<w>
# GGA-PBE InAgBr, relaxed
data_InAgBr
_chemical_formula_sum 'In4 Ag4 Br4'
_cell_length_a 7.176
_cell_length_b 3.810
_cell_length_c 11.951
_cell_angle_alpha 90.00
_cell_angle_beta 90.00
_cell_angle_gamma 90.00
_space_group_name_H-M_alt 'I m a 2'
_space_group_IT_number 46
loop_
_space_group_symop_operation_xyz
'x,y,z'
'-x,-y,z'
'-x+1/2,y,z'
'x+1/2,-y,z'
'x+1/2,y+1/2,z+1/2'
'-x+1/2,-y+1/2,z+1/2'
'-x,y+1/2,z+1/2'
'x,-y+1/2,z+1/2'
loop_
_atom_site_label
_atom_site_fract_x
_atom_site_fract_y
_atom_site_fract_z
In1 0.250 0.013 0.000
Ag1 0.000 0.000 0.397
Br1 0.250 0.707 0.717
# Magnetization = 0.00 μB per cell

<x>
# GGA-PBE InAgBr, relaxed
data_InAgBr
_chemical_formula_sum 'In2 Ag2 Br2'
_cell_length_a 4.906
_cell_length_b 4.094
_cell_length_c 8.734
_cell_angle_alpha 90.00
_cell_angle_beta 90.70
_cell_angle_gamma 90.00
_space_group_name_H-M_alt 'P 1 21/m 1'
_space_group_IT_number 11
loop_
_space_group_symop_operation_xyz
'x,y,z'
'-x,-y,-z'
'-x,y+1/2,-z'
'x,-y+1/2,z'
loop_
_atom_site_label
_atom_site_fract_x
_atom_site_fract_y
_atom_site_fract_z
In1 0.021 0.250 0.348
Ag1 0.403 0.250 0.601
Br1 0.257 0.750 0.146
# Magnetization = 0.00 μB per cell

Which structure loses on stability? <w> does.